Below is a geometry-optimized KMoIO6 structure, with properties calculated at the PBE with a Hubbard U level.

Geometry as extended XYZ:
```
36
Lattice="7.5533 0.0000 0.0000 0.0000 7.7227 -0.0142 0.0000 4.0397 10.1629" Properties=species:S:1:pos:R:3 pbc="T T T"
O 4.2965 5.7486 9.1385
O 7.1395 6.4356 3.6021
Mo 0.0324 6.8380 7.3319
K 1.7239 2.9476 5.8893
K 5.8295 8.8148 4.2594
O 3.3628 3.3070 1.4651
O 4.1192 3.7530 4.1720
O 4.1905 8.4554 8.6836
O 5.7293 6.8550 7.0827
O 0.4138 5.3269 6.5466
O 3.4341 8.0095 5.9767
O 1.8240 4.9074 3.0660
K 2.0528 0.9278 0.8078
O 0.3426 5.9896 0.8953
I 1.3156 9.1636 9.7203
O 3.5555 5.2733 6.4012
O 7.0335 3.7287 4.0570
I 2.4610 7.1437 4.6389
O 7.3322 8.5090 8.8290
Mo 3.7442 4.8181 2.2505
I 5.0923 4.6187 5.5098
Mo 7.5209 4.9245 2.8168
O 2.1609 8.5697 3.5868
O 5.3924 3.1927 6.5619
Mo 3.8091 6.9443 7.8982
O 0.5198 8.0337 6.0917
O 1.9527 6.9272 8.1474
K 5.5005 10.8347 9.3409
O 0.2211 3.2534 1.3197
O 3.2568 6.0139 1.0102
O 5.6006 4.8352 2.0013
O 7.2108 5.7728 9.2534
O 1.6158 10.5896 8.6683
O 5.9375 1.1729 1.4804
I 6.2377 2.5988 0.4284
O 3.9978 6.4891 3.7475
```

## Properties
Its space group is P2_1/c, No. 14. The energy above the lowest structure with this stoichiometry is 0 meV/atom. Its raw total energy is -5.6151 eV/atom.